VASP calculation (PBE) on a geometry-optimized HfAlCo2H structure.

abc: 3.907 3.907 3.816
angles: 90.00 90.00 90.00
Space group P4/mmm (No. 123)
One atom of each set of equivalent atoms:
Hf 0.000 0.000 0.000 [1 per cell]
Al 0.500 0.500 0.000 [1 per cell]
Co 0.000 0.500 0.500 [2 per cell]
H 0.000 0.000 0.500 [1 per cell]

- V: 58 Å³ per cell
- E above lowest polymorph: 0.52 eV per formula unit

---

VASP calculation (PBE) on a geometry-optimized Al2CoHIr structure.

abc: 4.578 4.578 2.946
angles: 90.00 90.00 90.00
Space group P4/mmm (No. 123)
One atom of each set of equivalent atoms:
Al 0.000 0.500 0.000 [2 per cell]
Co 0.000 0.000 0.000 [1 per cell]
H 0.000 0.000 0.500 [1 per cell]
Ir 0.500 0.500 0.500 [1 per cell]

- V: 62 Å³ per cell
- E above lowest polymorph: 2.84 eV per formula unit

---

VASP calculation (PBE) on a geometry-optimized Al2CoHIr structure.

abc: 4.124 4.124 3.171
angles: 90.00 90.00 90.00
Space group P4/mmm (No. 123)
One atom of each set of equivalent atoms:
Al 0.000 0.500 0.000 [2 per cell]
Co 0.000 0.000 0.500 [1 per cell]
H 0.000 0.000 0.000 [1 per cell]
Ir 0.500 0.500 0.500 [1 per cell]

- V: 54 Å³ per cell
- E above lowest polymorph: 0.00 eV per formula unit

---

VASP calculation (PBE) on a geometry-optimized AlCo2HIr structure.

abc: 3.657 3.657 3.830
angles: 90.00 90.00 90.00
Space group P4/mmm (No. 123)
One atom of each set of equivalent atoms:
Al 0.000 0.000 0.000 [1 per cell]
Co 0.000 0.500 0.500 [2 per cell]
H 0.500 0.500 0.500 [1 per cell]
Ir 0.500 0.500 0.000 [1 per cell]

- V: 51 Å³ per cell
- E above lowest polymorph: 0.00 eV per formula unit

---

VASP calculation (PBE) on a geometry-optimized AlCo2HIr structure.

abc: 3.588 3.588 3.933
angles: 90.00 90.00 90.00
Space group P4/mmm (No. 123)
One atom of each set of equivalent atoms:
Al 0.000 0.000 0.000 [1 per cell]
Co 0.000 0.500 0.500 [2 per cell]
H 0.000 0.000 0.500 [1 per cell]
Ir 0.500 0.500 0.000 [1 per cell]

- V: 51 Å³ per cell
- E above lowest polymorph: 0.24 eV per formula unit

---

VASP calculation (PBE) on a geometry-optimized KAlCo2H structure.

abc: 4.133 4.133 3.959
angles: 90.00 90.00 90.00
Space group P4/mmm (No. 123)
One atom of each set of equivalent atoms:
K 0.000 0.000 0.000 [1 per cell]
Al 0.500 0.500 0.000 [1 per cell]
Co 0.000 0.500 0.500 [2 per cell]
H 0.500 0.500 0.500 [1 per cell]

- V: 68 Å³ per cell
- VASP energy: -3.515 eV/atom